This record from Alexandria via LeMat-Bulk describes crystalline PaTiI2 at its relaxed geometry. The functional is GGA-PBE.

Lattice parameters (Å, degrees): 10.403 10.403 10.403 19.31 19.31 19.31
Atoms (fractional coordinates):
Pa 0.000 0.000 0.000
Ti 0.500 0.500 0.500
I 0.103 0.103 0.103
I 0.897 0.897 0.897

Calculated values
Formation energy without anion corrections, eV per formula unit: 0.1
Calculated volume, Å³/f.u.: 107.7
Space-group type: No. 166